No. 1
Entry from the Alexandria database: an optimized crystal structure of LiTm2Zn2Pd5 (PBE).

The structure in POSCAR format:
```
LiTm2Zn2Pd5
1.0
9.6149 0.0000 0.0000
0.0000 9.6149 0.0000
0.0000 0.0000 3.7332
Li Tm Zn Pd
2 4 4 10
Direct
0.0000 0.0000 0.0000
0.5000 0.5000 0.0000
0.1752 0.3248 0.0000
0.3248 0.8248 0.0000
0.6752 0.1752 0.0000
0.8248 0.6752 0.0000
0.1231 0.6231 0.0000
0.3769 0.1231 0.0000
0.6231 0.8769 0.0000
0.8769 0.3769 0.0000
0.0000 0.5000 0.5000
0.0700 0.7996 0.5000
0.2004 0.0700 0.5000
0.2996 0.5700 0.5000
0.4300 0.2996 0.5000
0.5000 0.0000 0.5000
0.5700 0.7004 0.5000
0.7004 0.4300 0.5000
0.7996 0.9300 0.5000
0.9300 0.2004 0.5000
```

Properties
**Formation energy**: -6.6 eV/f.u.
**DOS at the Fermi energy**: 4.4 states/eV/f.u.
**Raw total energy**: -91.9 eV for the cell shown

***

No. 2
Entry from the Alexandria database: an optimized crystal structure of LiTmZrPd (PBE).

The structure in POSCAR format:
```
LiTmZrPd
1.0
0.0000 3.4239 3.4239
3.4239 0.0000 3.4239
3.4239 3.4239 0.0000
Li Tm Zr Pd
1 1 1 1
Direct
0.0000 0.0000 0.0000
0.2500 0.2500 0.2500
0.7500 0.7500 0.7500
0.5000 0.5000 0.5000
```

Properties
**Formation energy**: -1.0 eV/f.u.
**DOS at the Fermi energy**: 4.7 states/eV/f.u.
**Raw total energy**: -21.2 eV for the cell shown

***

No. 3
Entry from the Alexandria database: an optimized crystal structure of Li2UPd9 (PBE).

The structure in POSCAR format:
```
Li2UPd9
1.0
4.0681 0.0000 0.0000
0.0000 4.0681 0.0000
0.0000 0.0000 11.4488
Li U Pd
2 1 9
Direct
0.0000 0.0000 0.1562
0.0000 0.0000 0.8438
0.0000 0.0000 0.5000
0.0000 0.5000 0.0000
0.0000 0.5000 0.3266
0.0000 0.5000 0.6734
0.5000 0.0000 0.0000
0.5000 0.0000 0.3266
0.5000 0.0000 0.6734
0.5000 0.5000 0.1605
0.5000 0.5000 0.5000
0.5000 0.5000 0.8395
```

Properties
**Formation energy**: -4.5 eV/f.u.
**DOS at the Fermi energy**: 15.6 states/eV/f.u.
**Raw total energy**: -66.3 eV for the cell shown

***

No. 4
Entry from the Alexandria database: an optimized crystal structure of LiUPd2 (PBE).

The structure in POSCAR format:
```
LiUPd2
1.0
3.2306 0.0000 0.0000
0.0000 3.2306 0.0000
0.0000 0.0000 6.6176
Li U Pd
1 1 2
Direct
0.0000 0.0000 0.0000
0.0000 0.0000 0.5000
0.5000 0.5000 0.2159
0.5000 0.5000 0.7841
```

Properties
**Formation energy**: -1.4 eV/f.u.
**DOS at the Fermi energy**: 4.4 states/eV/f.u.
**Raw total energy**: -25.0 eV for the cell shown

***

No. 5
Entry from the Alexandria database: an optimized crystal structure of LiUPd6 (PBE).

The structure in POSCAR format:
```
LiUPd6
1.0
2.7158 1.5680 6.6898
-2.7158 1.5680 6.6898
0.0000 -3.1360 6.6898
Li U Pd
1 1 6
Direct
0.0000 0.0000 0.0000
0.5000 0.5000 0.5000
0.0602 0.5708 0.5708
0.4292 0.4292 0.9398
0.4292 0.9398 0.4292
0.5708 0.0602 0.5708
0.5708 0.5708 0.0602
0.9398 0.4292 0.4292
```

Properties
**Formation energy**: 0.0 eV/f.u.
**DOS at the Fermi energy**: 9.2 states/eV/f.u.
**Raw total energy**: -44.3 eV for the cell shown
**Energy relative to the lowest polymorph listed for this composition**: 3.678 eV/f.u.

***

No. 6
Entry from the Alexandria database: an optimized crystal structure of LiUPd2 (PBE).

The structure in POSCAR format:
```
LiUPd2
1.0
1.4730 0.8504 9.0561
-1.4730 0.8504 9.0561
0.0000 -1.7009 9.0561
Li U Pd
1 1 2
Direct
0.0000 0.0000 0.0000
0.5000 0.5000 0.5000
0.2580 0.2580 0.2580
0.7420 0.7420 0.7420
```

Properties
**Formation energy**: -0.9 eV/f.u.
**DOS at the Fermi energy**: 5.3 states/eV/f.u.
**Raw total energy**: -24.5 eV for the cell shown

***

No. 7
Entry from the Alexandria database: an optimized crystal structure of Li5UPd6 (PBE).

The structure in POSCAR format:
```
Li5UPd6
1.0
6.5443 -3.5078 0.0000
6.5443 3.5078 0.0000
-1.3095 0.0000 3.9518
Li U Pd
5 1 6
Direct
0.0000 0.0000 0.0000
0.1686 0.1686 0.6696
0.3194 0.3194 0.3201
0.6806 0.6806 0.6799
0.8314 0.8314 0.3304
0.5000 0.5000 0.0000
0.0848 0.5793 0.8314
0.2382 0.7618 0.5000
0.4207 0.9152 0.1686
0.5793 0.0848 0.8314
0.7618 0.2382 0.5000
0.9152 0.4207 0.1686
```

Properties
**Formation energy**: -5.3 eV/f.u.
**DOS at the Fermi energy**: 7.8 states/eV/f.u.
**Raw total energy**: -57.3 eV for the cell shown

***

No. 8
Entry from the Alexandria database: an optimized crystal structure of LiUPd2 (PBE).

The structure in POSCAR format:
```
LiUPd2
1.0
4.8008 0.0000 0.0000
0.0000 4.8008 0.0000
0.0000 0.0000 3.1769
Li U Pd
1 1 2
Direct
0.0000 0.0000 0.0000
0.5000 0.5000 0.0000
0.0000 0.5000 0.5000
0.5000 0.0000 0.5000
```

Properties
**Formation energy**: -1.0 eV/f.u.
**DOS at the Fermi energy**: 5.4 states/eV/f.u.
**Raw total energy**: -24.6 eV for the cell shown

***

No. 9
Entry from the Alexandria database: an optimized crystal structure of LiUPd6 (PBE).

The structure in POSCAR format:
```
LiUPd6
1.0
4.0920 0.0000 0.0000
0.0000 4.0920 0.0000
0.0000 0.0000 7.7522
Li U Pd
1 1 6
Direct
0.0000 0.0000 0.0000
0.0000 0.0000 0.5000
0.0000 0.5000 0.2462
0.0000 0.5000 0.7538
0.5000 0.0000 0.2462
0.5000 0.0000 0.7538
0.5000 0.5000 0.0000
0.5000 0.5000 0.5000
```

Properties
**Formation energy**: -3.6 eV/f.u.
**DOS at the Fermi energy**: 7.7 states/eV/f.u.
**Raw total energy**: -48.0 eV for the cell shown
**Energy relative to the lowest polymorph listed for this composition**: 0.000 eV/f.u.

***

No. 10
Entry from the Alexandria database: an optimized crystal structure of Li2UPd8 (PBE).

The structure in POSCAR format:
```
Li2UPd8
1.0
6.9854 -2.0905 0.0000
6.9854 2.0905 0.0000
-1.8961 0.0000 5.9435
Li U Pd
2 1 8
Direct
0.2242 0.2242 0.1465
0.7758 0.7758 0.8535
0.5000 0.5000 0.5000
0.0462 0.0462 0.2308
0.1431 0.1431 0.6989
0.3188 0.3188 0.5727
0.4063 0.4063 0.0439
0.5937 0.5937 0.9561
0.6812 0.6812 0.4273
0.8569 0.8569 0.3011
0.9538 0.9538 0.7692
```

Properties
**Formation energy**: -4.6 eV/f.u.
**DOS at the Fermi energy**: 7.3 states/eV/f.u.
**Raw total energy**: -61.3 eV for the cell shown

***

No. 11
Entry from the Alexandria database: an optimized crystal structure of LiUPd14 (PBE).

The structure in POSCAR format:
```
LiUPd14
1.0
5.7213 0.0000 0.0000
0.0000 5.7213 0.0000
0.0000 0.0000 7.6999
Li U Pd
1 1 14
Direct
0.0000 0.0000 0.0000
0.5000 0.5000 0.0000
0.0000 0.0000 0.5000
0.0000 0.5000 0.0000
0.0000 0.5000 0.5000
0.2507 0.2507 0.2465
0.2507 0.2507 0.7535
0.2507 0.7493 0.2465
0.2507 0.7493 0.7535
0.5000 0.0000 0.0000
0.5000 0.0000 0.5000
0.5000 0.5000 0.5000
0.7493 0.2507 0.2465
0.7493 0.2507 0.7535
0.7493 0.7493 0.2465
0.7493 0.7493 0.7535
```

Properties
**Formation energy**: -4.1 eV/f.u.
**DOS at the Fermi energy**: 20.7 states/eV/f.u.
**Raw total energy**: -90.0 eV for the cell shown

***

No. 12
Entry from the Alexandria database: an optimized crystal structure of Li2UPd5 (PBE).

The structure in POSCAR format:
```
Li2UPd5
1.0
-3.3810 3.3810 2.8501
3.3810 -3.3810 2.8501
3.3810 3.3810 -2.8501
Li U Pd
2 1 5
Direct
0.0000 0.5000 0.5000
0.5000 0.0000 0.5000
0.0000 0.0000 0.0000
0.0000 0.0000 0.5000
0.0000 0.5000 0.0000
0.5000 0.0000 0.0000
0.5000 0.5000 0.0000
0.5000 0.5000 0.5000
```

Properties
**Formation energy**: -3.5 eV/f.u.
**DOS at the Fermi energy**: 7.6 states/eV/f.u.
**Raw total energy**: -44.5 eV for the cell shown

***

No. 13
Entry from the Alexandria database: an optimized crystal structure of LiU2Pd8 (PBE).

The structure in POSCAR format:
```
LiU2Pd8
1.0
-2.0216 4.0371 5.9741
2.0216 -4.0371 5.9741
2.0216 4.0371 -5.9741
Li U Pd
1 2 8
Direct
0.0000 0.0000 0.0000
0.3427 0.3427 0.0000
0.6573 0.6573 0.0000
0.0899 0.8390 0.2509
0.1731 0.6731 0.5000
0.2475 0.5000 0.7475
0.4119 0.1610 0.2509
0.5881 0.8390 0.7491
0.7525 0.5000 0.2525
0.8269 0.3269 0.5000
0.9101 0.1610 0.7491
```

Properties
**Formation energy**: -4.0 eV/f.u.
**DOS at the Fermi energy**: 13.9 states/eV/f.u.
**Raw total energy**: -70.0 eV for the cell shown

***

No. 14
Entry from the Alexandria database: an optimized crystal structure of LiVPd3 (PBE).

The structure in POSCAR format:
```
LiVPd3
1.0
6.7610 -1.9808 0.0000
6.7610 1.9808 0.0000
-0.4044 0.0000 5.4276
Li V Pd
2 2 6
Direct
0.0980 0.0980 0.0295
0.9020 0.9020 0.9705
0.2979 0.2979 0.6427
0.7021 0.7021 0.3573
0.1055 0.1055 0.5424
0.2975 0.2975 0.1468
0.4872 0.4872 0.7526
0.5128 0.5128 0.2474
0.7025 0.7025 0.8532
0.8945 0.8945 0.4576
```

Properties
**Formation energy**: -1.3 eV/f.u.
**DOS at the Fermi energy**: 3.2 states/eV/f.u.
**Raw total energy**: -55.9 eV for the cell shown
**Energy relative to the lowest polymorph listed for this composition**: 0.000 eV/f.u.

***

No. 15
Entry from the Alexandria database: an optimized crystal structure of LiV3Pd (PBE).

The structure in POSCAR format:
```
LiV3Pd
1.0
4.8246 0.0000 0.0000
0.0000 4.8246 0.0000
0.0000 0.0000 4.8246
Li V Pd
1 3 1
Direct
0.0000 0.0000 0.0000
0.0000 0.5000 0.5000
0.5000 0.0000 0.5000
0.5000 0.5000 0.0000
0.5000 0.5000 0.5000
```

Properties
**Formation energy**: 6.1 eV/f.u.
**DOS at the Fermi energy**: 7.2 states/eV/f.u.
**Raw total energy**: -28.4 eV for the cell shown
**Energy relative to the lowest polymorph listed for this composition**: 0.775 eV/f.u.

***

No. 16
Entry from the Alexandria database: an optimized crystal structure of LiVPd3 (PBE).

The structure in POSCAR format:
```
LiVPd3
1.0
4.2212 0.0000 0.0000
0.0000 4.2212 0.0000
0.0000 0.0000 4.2212
Li V Pd
1 1 3
Direct
0.0000 0.0000 0.0000
0.5000 0.5000 0.5000
0.0000 0.0000 0.5000
0.0000 0.5000 0.0000
0.5000 0.0000 0.0000
```

Properties
**Formation energy**: 1.5 eV/f.u.
**DOS at the Fermi energy**: 8.0 states/eV/f.u.
**Raw total energy**: -25.1 eV for the cell shown
**Energy relative to the lowest polymorph listed for this composition**: 2.780 eV/f.u.

***

No. 17
Entry from the Alexandria database: an optimized crystal structure of LiVPd3 (PBE).

The structure in POSCAR format:
```
LiVPd3
1.0
4.6342 0.0000 0.0000
0.0000 4.6342 0.0000
0.0000 0.0000 4.6342
Li V Pd
1 1 3
Direct
0.0000 0.0000 0.0000
0.5000 0.5000 0.5000
0.0000 0.5000 0.5000
0.5000 0.0000 0.5000
0.5000 0.5000 0.0000
```

Properties
**Formation energy**: 2.2 eV/f.u.
**DOS at the Fermi energy**: 3.4 states/eV/f.u.
**Raw total energy**: -24.4 eV for the cell shown
**Energy relative to the lowest polymorph listed for this composition**: 3.487 eV/f.u.

***

No. 18
Entry from the Alexandria database: an optimized crystal structure of Li5V2Pd12 (PBE).

The structure in POSCAR format:
```
Li5V2Pd12
1.0
7.3372 -2.8192 0.0000
7.3372 2.8192 0.0000
-1.8885 0.0000 7.0773
Li V Pd
5 2 12
Direct
0.0000 0.0000 0.0000
0.2476 0.2476 0.0014
0.3005 0.3005 0.5574
0.6995 0.6995 0.4426
0.7524 0.7524 0.9986
0.2848 0.7152 0.5000
0.7152 0.2848 0.5000
0.0910 0.5969 0.2729
0.1095 0.1095 0.3975
0.1201 0.6024 0.8848
0.3976 0.8799 0.1152
0.4031 0.9090 0.7271
0.4881 0.4881 0.1860
0.5119 0.5119 0.8140
0.5969 0.0910 0.2729
0.6024 0.1201 0.8848
0.8799 0.3976 0.1152
0.8905 0.8905 0.6025
0.9090 0.4031 0.7271
```

Properties
**Formation energy**: -2.8 eV/f.u.
**DOS at the Fermi energy**: 10.9 states/eV/f.u.
**Raw total energy**: -92.9 eV for the cell shown

***

No. 19
Entry from the Alexandria database: an optimized crystal structure of Li2VPd (PBE).

The structure in POSCAR format:
```
Li2VPd
1.0
-3.5032 3.5032 2.5569
3.5032 -3.5032 2.5569
3.5032 3.5032 -2.5569
Li V Pd
4 2 2
Direct
0.1043 0.1250 0.4793
0.3750 0.8957 0.0207
0.6457 0.6250 0.5207
0.8750 0.3543 0.9793
0.2500 0.7500 0.5000
0.5000 0.5000 0.0000
0.0000 0.0000 0.0000
0.7500 0.2500 0.5000
```

Properties
**Formation energy**: 1.3 eV/f.u.
**DOS at the Fermi energy**: 2.9 states/eV/f.u.
**Raw total energy**: -33.6 eV for the cell shown
**Energy relative to the lowest polymorph listed for this composition**: 0.983 eV/f.u.

***

No. 20
Entry from the Alexandria database: an optimized crystal structure of LiV2Pd2 (PBE).

The structure in POSCAR format:
```
LiV2Pd2
1.0
7.5898 0.0000 0.0000
0.0000 7.5898 0.0000
0.0000 0.0000 2.6872
Li V Pd
2 4 4
Direct
0.0000 0.0000 0.0000
0.5000 0.5000 0.0000
0.1108 0.3892 0.0000
0.3892 0.8892 0.0000
0.6108 0.1108 0.0000
0.8892 0.6108 0.0000
0.1818 0.6818 0.5000
0.3182 0.1818 0.5000
0.6818 0.8182 0.5000
0.8182 0.3182 0.5000
```

Properties
**Formation energy**: -0.4 eV/f.u.
**DOS at the Fermi energy**: 3.9 states/eV/f.u.
**Raw total energy**: -61.8 eV for the cell shown
**Energy relative to the lowest polymorph listed for this composition**: 0.000 eV/f.u.

***

No. 21
Entry from the Alexandria database: an optimized crystal structure of LiVPd2 (PBE).

The structure in POSCAR format:
```
LiVPd2
1.0
1.3951 0.8055 8.5429
-1.3951 0.8055 8.5429
0.0000 -1.6109 8.5429
Li V Pd
1 1 2
Direct
0.0000 0.0000 0.0000
0.8332 0.8332 0.8332
0.2490 0.2490 0.2490
0.4171 0.4171 0.4171
```

Properties
**Formation energy**: -0.9 eV/f.u.
**DOS at the Fermi energy**: 3.4 states/eV/f.u.
**Raw total energy**: -22.3 eV for the cell shown

***

No. 22
Entry from the Alexandria database: an optimized crystal structure of Li3VPd7 (PBE).

The structure in POSCAR format:
```
Li3VPd7
1.0
4.2807 -4.4787 0.0000
4.2807 4.4787 0.0000
-2.1103 0.0000 4.4329
Li V Pd
3 1 7
Direct
0.0000 0.0000 0.0000
0.2265 0.7735 0.5000
0.7735 0.2265 0.5000
0.5000 0.5000 0.0000
0.0703 0.5867 0.8217
0.1881 0.1881 0.5555
0.4133 0.9297 0.1783
0.5000 0.5000 0.5000
0.5867 0.0703 0.8217
0.8119 0.8119 0.4445
0.9297 0.4133 0.1783
```

Properties
**Formation energy**: -0.7 eV/f.u.
**DOS at the Fermi energy**: 7.5 states/eV/f.u.
**Raw total energy**: -52.0 eV for the cell shown

***

No. 23
Entry from the Alexandria database: an optimized crystal structure of Li2VPd2 (PBE).

The structure in POSCAR format:
```
Li2VPd2
1.0
6.9970 0.0000 0.0000
0.0000 6.9970 0.0000
0.0000 0.0000 2.8205
Li V Pd
4 2 4
Direct
0.1142 0.3858 0.0000
0.3858 0.8858 0.0000
0.6142 0.1142 0.0000
0.8858 0.6142 0.0000
0.0000 0.0000 0.0000
0.5000 0.5000 0.0000
0.1872 0.6872 0.5000
0.3128 0.1872 0.5000
0.6872 0.8128 0.5000
0.8128 0.3128 0.5000
```

Properties
**Formation energy**: -0.7 eV/f.u.
**DOS at the Fermi energy**: 3.4 states/eV/f.u.
**Raw total energy**: -48.1 eV for the cell shown
**Energy relative to the lowest polymorph listed for this composition**: 0.000 eV/f.u.